The following is a GGA-PBE calculation of a geometry-optimized K3Hg4 structure, from the Alexandria database.

abc: 7.4636 7.4636 5.8793
angles: 90.00 90.00 120.00
Positions (direct):
K: 0.0000 0.5000 0.0000
K: 0.5000 0.0000 0.0000
K: 0.5000 0.5000 0.0000
Hg: 0.0000 0.0000 0.2507
Hg: 0.0000 0.0000 0.7493
Hg: 0.3333 0.6667 0.5000
Hg: 0.6667 0.3333 0.5000

Properties
- relative energy among the computed polymorphs (eV per atom) = 0.186
- crystal system = hexagonal
- density of states at the Fermi level (states/eV per cell) = 4.62
- space-group type = P6/mmm, No. 191
- ΔE_f (eV per formula unit) = -0.50